Here is crystalline Ba2SrRu at its relaxed geometry from Alexandria via LeMat-Bulk. Energies are from PBE-GGA.

a = 3.851 Å, b = 3.852 Å, c = 10.795 Å
α = 90.00°, β = 90.07°, γ = 90.00°
Positions (direct):
Ba  0.001  0.000  0.330
Ba  0.999  0.000  0.670
Sr  0.500  0.500  0.000
Ru  0.500  0.500  0.500

Properties
energy of formation	0.38	eV per atom
density of states at the Fermi level	3.35	states/eV per cell